# 1
Crystalline Pr3Nd2Hg6 at its relaxed geometry. Source: the Alexandria database, functional PBE.

a b c (Å): 14.408 14.408 14.408
angles (deg): 159.21 159.21 29.56
Atoms (fractional coordinates):
Pr: 0.000 0.000 0.000
Pr: 0.139 0.139 0.000
Pr: 0.861 0.861 0.000
Nd: 0.370 0.370 0.000
Nd: 0.630 0.630 0.000
Hg: 0.067 0.567 0.500
Hg: 0.255 0.255 0.000
Hg: 0.433 0.933 0.500
Hg: 0.567 0.067 0.500
Hg: 0.745 0.745 0.000
Hg: 0.933 0.433 0.500

Calculated values
Total magnetization: 0.045 μB per atom
Space-group type: I4/mmm, No. 139
Total energy: -0.0902 hartree per atom
Formation energy: -119 meV per atom

---

# 2
Crystalline Pr7NdHg2 at its relaxed geometry. Source: the Alexandria database, functional PBE.

a b c (Å): 9.225 9.225 5.485
angles (deg): 90.00 90.00 119.25
Atoms (fractional coordinates):
Pr: 0.000 0.000 0.000
Pr: 0.197 0.438 0.000
Pr: 0.267 0.733 0.500
Pr: 0.438 0.197 0.000
Pr: 0.562 0.803 0.000
Pr: 0.733 0.267 0.500
Pr: 0.803 0.562 0.000
Nd: 0.500 0.500 0.500
Hg: 0.194 0.806 0.000
Hg: 0.806 0.194 0.000

Calculated values
Total magnetization: 0.000 μB per atom
Space-group type: Cmmm, No. 65
Total energy: -0.1338 hartree per atom
Formation energy: 242 meV per atom

---

# 3
Crystalline PrNd4Hg at its relaxed geometry. Source: the Alexandria database, functional PBE.

a b c (Å): 3.721 3.721 14.354
angles (deg): 90.00 90.00 90.00
Atoms (fractional coordinates):
Pr: 0.000 0.000 0.000
Nd: 0.000 0.000 0.359
Nd: 0.000 0.000 0.641
Nd: 0.500 0.500 0.181
Nd: 0.500 0.500 0.819
Hg: 0.500 0.500 0.500

Calculated values
E above lowest polymorph: 0.000 eV per atom
Total magnetization: 0.000 μB per atom
Space-group type: P4/mmm, No. 123
Total energy: -0.1534 hartree per atom
Formation energy: -150 meV per atom

---

# 4
Crystalline Pr3Nd2Hg at its relaxed geometry. Source: the Alexandria database, functional PBE.

a b c (Å): 6.318 6.318 11.745
angles (deg): 95.21 95.21 120.17
Atoms (fractional coordinates):
Pr: 0.077 0.421 0.760
Pr: 0.235 0.235 0.239
Pr: 0.421 0.077 0.760
Pr: 0.579 0.923 0.240
Pr: 0.765 0.765 0.761
Pr: 0.923 0.579 0.240
Nd: 0.000 0.000 0.500
Nd: 0.337 0.663 0.500
Nd: 0.500 0.500 0.000
Nd: 0.663 0.337 0.500
Hg: 0.167 0.833 0.000
Hg: 0.833 0.167 0.000

Calculated values
E above lowest polymorph: 0.069 eV per atom
Total magnetization: 0.000 μB per atom
Space-group type: C2/m, No. 12
Total energy: -0.1505 hartree per atom
Formation energy: -67 meV per atom

---

- What is the formula in the fourth record?
  Pr3Nd2Hg